# AlAgSnF6 (PBE, optimized geometry)
# mass density = 4.401 Mg/m³
# volume = 15.4 Å³/atom
# ΔE_f (raw) = -22.71 eV per formula unit
data_AlAgSnF6
_cell_length_a 4.861
_cell_length_b 5.342
_cell_length_c 5.976
_cell_angle_alpha 63.47
_cell_angle_beta 88.88
_cell_angle_gamma 87.49
_symmetry_space_group_name_H-M 'P 1'
_symmetry_Int_Tables_number 1
_symmetry_space_group_name_Hall 'P 1'
loop_
_atom_site_label
_atom_site_fract_x
_atom_site_fract_y
_atom_site_fract_z
Al1 0.000 0.000 0.000
Ag1 0.001 0.683 0.634
Sn1 0.500 0.349 0.302
F1 0.209 0.027 0.244
F2 0.213 0.247 0.761
F3 0.235 0.699 0.020
F4 0.765 0.281 0.019
F5 0.787 0.991 0.761
F6 0.791 0.729 0.244